This record from the Alexandria database describes an optimized crystal structure of LiHo6Se2S3. The functional is GGA-PBE.

Summary:
Magnetization in Bohr magnetons per cell: 0.00
Crystal system: monoclinic
ΔE_f (raw) in meV per atom: -1490

a b c (Å): 17.421 3.928 8.067
angles (deg): 90.00 103.81 90.00
Space group C2/m (No. 12)
Asymmetric unit:
Li: 0.000 0.000 0.000 [2 per cell]
Ho: 0.005 0.500 0.734 [4 per cell]
Ho: 0.162 0.000 0.595 [4 per cell]
Ho: 0.171 0.000 0.072 [4 per cell]
Se: 0.167 0.500 0.336 [4 per cell]
S: 0.000 0.000 0.500 [2 per cell]
S: 0.170 0.500 0.834 [4 per cell]



This record from the Alexandria database describes an optimized crystal structure of LiHoSeS. The functional is GGA-PBE.

Summary:
Magnetization in Bohr magnetons per cell: 0.00
Crystal system: trigonal
ΔE_f (raw) in meV per atom: -1771

a b c (Å): 3.9738 3.9738 18.9994
angles (deg): 90.00 90.00 120.00
Space group R3m (No. 160, hexagonal axes)
Asymmetric unit:
Li: 0.0000 0.0000 0.0000 [3 per cell]
Ho: 0.0000 0.0000 0.5051 [3 per cell]
Se: 0.0000 0.0000 0.7493 [3 per cell]
S: 0.0000 0.0000 0.2497 [3 per cell]



This record from the Alexandria database describes an optimized crystal structure of LiHoSi2S6. The functional is GGA-PBE.

Summary:
Magnetization in Bohr magnetons per cell: 0.00
Crystal system: monoclinic
ΔE_f (raw) in meV per atom: -1064

a b c (Å): 12.285 11.543 6.332
angles (deg): 90.00 103.95 90.00
Space group C2/c (No. 15)
Asymmetric unit:
Li: 0.000 0.208 0.250 [4 per cell]
Ho: 0.000 0.383 0.750 [4 per cell]
Si: 0.203 0.080 0.773 [8 per cell]
S: 0.118 0.416 0.166 [8 per cell]
S: 0.133 0.233 0.616 [8 per cell]
S: 0.141 0.068 0.066 [8 per cell]



This record from the Alexandria database describes an optimized crystal structure of Li2Sm3HoS6. The functional is GGA-PBE.

Summary:
Magnetization in Bohr magnetons per cell: 0.00
Crystal system: monoclinic
ΔE_f (raw) in meV per atom: -1891

a b c (Å): 6.814 11.801 6.775
angles (deg): 90.00 109.54 90.00
Space group C2/m (No. 12)
Asymmetric unit:
Li: 0.000 0.167 0.000 [4 per cell]
Sm: 0.000 0.000 0.500 [2 per cell]
Sm: 0.000 0.332 0.500 [4 per cell]
Ho: 0.000 0.500 0.000 [2 per cell]
S: 0.245 0.000 0.239 [4 per cell]
S: 0.247 0.333 0.237 [8 per cell]